Compound: TmPuPt2
Source: the Alexandria database
Functional: GGA-PBE
Structure: relaxed

a b c (Å): 6.9195 6.9195 6.9195
angles (deg): 34.34 34.34 34.34
Last column: nearest neighbours and their distance in Å.
Element x y z (fractional)
1 Tm 0.0000 0.0000 0.0000  6 Pt 2.86
2 Pu 0.5000 0.5000 0.5000  6 Pt 2.87
3 Pt 0.2502 0.2502 0.2502  3 Tm 2.86, 3 Pu 2.87
4 Pt 0.7498 0.7498 0.7498  3 Tm 2.86, 3 Pu 2.87

Calculated values
* final energy: -8.64 eV/atom
* density of states at the Fermi level: 13.93 states/eV/f.u.
* total moment: 5.1 μB/f.u.
* formation enthalpy at 0 K: -915 meV/atom

=====

Compound: CdTcP2
Source: the Alexandria database
Functional: GGA-PBE
Structure: relaxed

a b c (Å): 7.1855 7.1855 7.1855
angles (deg): 155.72 153.13 36.52
Last column: nearest neighbours and their distance in Å.
Element x y z (fractional)
1 Cd 0.0000 0.0000 0.0000  6 P 2.77-2.87, 2 Cd 3.02
2 Tc 0.7648 0.2648 0.5000  6 P 2.38-2.46
3 P 0.3381 0.8381 0.5000  4 Tc 2.46
4 P 0.6298 0.6298 0.0000  2 Tc 2.38

Calculated values
* final energy: -5.56 eV/atom
* density of states at the Fermi level: 1.88 states/eV/f.u.
* total moment: 0.0 μB/f.u.
* formation enthalpy at 0 K: -33 meV/atom

=====

Compound: SrPd2Pb
Source: the Alexandria database
Functional: GGA-PBE
Structure: relaxed

a b c (Å): 4.9411 4.9411 3.7017
angles (deg): 90.00 90.00 90.00
Last column: nearest neighbours and their distance in Å.
Element x y z (fractional)
1 Sr 0.0000 0.0000 0.0000  8 Pd 3.09
2 Pd 0.0000 0.5000 0.5000  4 Pb 3.09, 4 Sr 3.09
3 Pd 0.5000 0.0000 0.5000  4 Pb 3.09, 4 Sr 3.09
4 Pb 0.5000 0.5000 0.0000  8 Pd 3.09

Calculated values
* final energy: -4.37 eV/atom
* density of states at the Fermi level: 0.89 states/eV/f.u.
* total moment: 0.0 μB/f.u.
* formation enthalpy at 0 K: -425 meV/atom

=====

Compound: Pm2Pa2Os3
Source: the Alexandria database
Functional: GGA-PBE
Structure: relaxed

a b c (Å): 4.3709 6.2153 7.3733
angles (deg): 82.52 89.93 69.43
Last column: nearest neighbours and their distance in Å.
Element x y z (fractional)
1 Pm 0.1346 0.2304 0.3596  4 Os 2.89-3.16
2 Pm 0.8654 0.7696 0.6404  4 Os 2.89-3.16
3 Pa 0.3624 0.7745 0.0652  5 Os 2.66-2.79
4 Pa 0.6376 0.2255 0.9348  5 Os 2.66-2.79
5 Os 0.0000 0.5000 0.0000  4 Pa 2.79, 2 Pm 2.89, 2 Os 3.06
6 Os 0.1963 0.1082 0.7627  3 Pa 2.66-2.75, 1 Pm 2.96
7 Os 0.8037 0.8918 0.2373  3 Pa 2.66-2.75, 1 Pm 2.96

Calculated values
* final energy: -9.05 eV/atom
* density of states at the Fermi level: 5.26 states/eV/f.u.
* total moment: 0.0 μB/f.u.
* formation enthalpy at 0 K: -168 meV/atom

=====

Compound: MgCd2Mo
Source: the Alexandria database
Functional: GGA-PBE
Structure: relaxed

a b c (Å): 5.8418 5.8418 5.8418
angles (deg): 149.71 129.53 60.01
Last column: nearest neighbours and their distance in Å.
Element x y z (fractional)
1 Mg 0.0000 0.0000 0.0000  4 Mo 2.92, 4 Cd 2.99, 2 Mg 3.05
2 Cd 0.2539 0.7539 0.5000  2 Mo 2.92, 6 Cd 2.92-3.05, 2 Mg 2.99
3 Cd 0.7461 0.2461 0.5000  2 Mo 2.92, 6 Cd 2.92-3.05, 2 Mg 2.99
4 Mo 0.5000 0.5000 0.0000  4 Cd 2.92, 4 Mg 2.92, 2 Mo 3.05

Calculated values
* final energy: -3.16 eV/atom
* density of states at the Fermi level: 2.86 states/eV/f.u.
* total moment: 0.0 μB/f.u.
* formation enthalpy at 0 K: 404 meV/atom

=====

Compound: RbInGa
Source: the Alexandria database
Functional: GGA-PBE
Structure: relaxed

a b c (Å): 4.9590 4.9590 8.6222
angles (deg): 92.19 92.19 87.70
Last column: nearest neighbours and their distance in Å.
Element x y z (fractional)
1 Rb 0.2452 0.2452 0.3422  2 Ga 3.61, 3 In 3.63-3.78
2 Rb 0.7548 0.7548 0.6578  2 Ga 3.61, 3 In 3.63-3.78
3 In 0.3071 0.3071 0.8369  4 Ga 2.84-2.99
4 In 0.6929 0.6929 0.1631  4 Ga 2.84-2.99
5 Ga 0.1954 0.8046 0.0000  1 Ga 2.69, 4 In 2.84-2.99
6 Ga 0.8046 0.1954 0.0000  1 Ga 2.69, 4 In 2.84-2.99

Calculated values
* final energy: -2.34 eV/atom
* density of states at the Fermi level: 0.73 states/eV/f.u.
* energy relative to the lowest polymorph listed for this composition: 0.0 meV per atom
* total moment: 0.0 μB/f.u.
* formation enthalpy at 0 K: -93 meV/atom

=====

Look up the formation enthalpy at 0 K of the third one.
-425 meV/atom